A plane-wave DFT calculation with PBE-GGA was carried out for HfMnInRh after structural relaxation.

Properties
* ΔE_f: -0.323 eV per atom
* total moment: 0.793 μB per atom
* density of states at the Fermi level: 20.8 states/eV/cell

Cell: 6.4919 6.4919 6.4919 Å, 90.00 90.00 90.00°
Closest atoms and distances in Å follow each position.
Space group F-43m (No. 216)
Inequivalent atoms, fractional coordinates:
Hf (0.0000, 0.0000, 0.0000) (multiplicity 4)  4 Mn 2.81, 4 Rh 2.81
Mn (0.2500, 0.2500, 0.2500) (multiplicity 4)  4 Hf 2.81, 4 In 2.81
In (0.0000, 0.0000, 0.5000) (multiplicity 4)  4 Rh 2.81, 4 Mn 2.81
Rh (0.2500, 0.2500, 0.7500) (multiplicity 4)  4 Hf 2.81, 4 In 2.81

---

A plane-wave DFT calculation with PBE-GGA was carried out for Gd2ErSb after structural relaxation.

Properties
* total moment: 3.887 μB per atom
* density of states at the Fermi level: 5.0 states/eV/cell
* E_form (uncorrected): -199 kJ/mol of formula units

Cell: 4.0767 4.0767 7.0184 Å, 90.00 90.00 90.00°
Closest atoms and distances in Å follow each position.
Space group P4/mmm (No. 123)
Inequivalent atoms, fractional coordinates:
Gd (0.0000, 0.0000, 0.2265) (multiplicity 2)  1 Gd 3.18, 4 Sb 3.29, 4 Er 3.46
Er (0.5000, 0.5000, 0.5000) (multiplicity 1)  8 Gd 3.46, 2 Sb 3.51
Sb (0.5000, 0.5000, 0.0000) (multiplicity 1)  8 Gd 3.29, 2 Er 3.51

---

A plane-wave DFT calculation with PBE-GGA was carried out for Y2TiNi3Ge4 after structural relaxation.

Properties
* ΔE_f: -0.687 eV per atom
* total moment: 0.000 μB per atom
* density of states at the Fermi level: 4.2 states/eV/cell

Cell: 4.0446 4.0446 10.3945 Å, 90.00 90.00 90.00°
Closest atoms and distances in Å follow each position.
Space group P-4m2 (No. 115)
Inequivalent atoms, fractional coordinates:
Y (0.0000, 0.5000, 0.2365) (multiplicity 2)  6 Ni 3.10-3.40, 8 Ge 3.10-3.18, 2 Ti 3.40
Ti (0.0000, 0.0000, 0.5000) (multiplicity 1)  4 Ge 2.55
Ni (0.0000, 0.5000, 0.8774) (multiplicity 2)  5 Ge 2.37-2.39
Ni (0.5000, 0.5000, 0.5000) (multiplicity 1)  4 Ge 2.55
Ge (0.0000, 0.0000, 0.0000) (multiplicity 1)  4 Ni 2.39
Ge (0.0000, 0.5000, 0.6490) (multiplicity 2)  3 Ni 2.37-2.55, 2 Ti 2.55
Ge (0.5000, 0.5000, 0.0000) (multiplicity 1)  4 Ni 2.39